BaAgSe | PBE-GGA | relaxed

Calculated values
N(E_F) in states/eV per cell: 9.53
Energy above the lowest structure with this stoichiometry in eV per atom: 0.110
Volume in A^3/atom: 31.3

Cell lengths 9.7485, 9.7485, 9.7485 Å; angles 128.95, 77.14, 126.44 degrees
With the nearest neighbours (Å) after each atom.
Sites, in units of the cell vectors:
Ba 0.0015 0.2500 0.2515  5 Se 3.12-3.28
Ba 0.1256 0.6098 0.0157  4 Se 3.24-3.58, 2 Ag 3.51
Ba 0.1766 0.1418 0.5349  4 Se 3.14-3.34
Ba 0.5941 0.1098 0.9843  4 Se 3.24-3.58, 2 Ag 3.51
Ba 0.6069 0.6418 0.4651  4 Se 3.14-3.34
Ba 0.9985 0.7500 0.7485  5 Se 3.12-3.28
Ag 0.3346 0.3346 0.0000  2 Ag 2.88, 2 Se 2.94
Ag 0.3346 0.8346 0.5000  2 Ag 2.88, 2 Se 2.94
Ag 0.5336 0.0329 0.3324  3 Ag 2.79-2.91, 1 Se 2.90
Ag 0.5336 0.7012 0.0006  3 Ag 2.79-2.91, 1 Se 2.90
Ag 0.7005 0.2012 0.6676  3 Ag 2.79-2.91, 1 Se 2.90
Ag 0.7005 0.5329 0.9994  3 Ag 2.79-2.91, 1 Se 2.90
Se 0.2699 0.1200 0.1479  1 Ag 2.94, 3 Ba 3.24-3.28
Se 0.2699 0.6220 0.6498  1 Ag 2.94, 3 Ba 3.24-3.28
Se 0.5890 0.4429 0.6461  4 Ag 2.90-3.25, 2 Ba 3.12-3.14
Se 0.7968 0.9429 0.3539  4 Ag 2.90-3.25, 2 Ba 3.12-3.14
Se 0.9721 0.1220 0.8521  1 Ag 2.94, 3 Ba 3.24-3.28
Se 0.9721 0.6200 0.3502  1 Ag 2.94, 3 Ba 3.24-3.28

ScCoNi6 | PBE-GGA | relaxed

Calculated values
N(E_F) in states/eV per cell: 38.59
E_form in eV per formula unit: -1.3
Volume in A^3/atom: 11.9

Cell lengths 6.2706, 6.2706, 10.2595 Å; angles 90.00, 90.00, 109.73 degrees
With the nearest neighbours (Å) after each atom.
Sites, in units of the cell vectors:
Sc 0.0000 0.0000 0.2485  12 Ni 2.55-2.65
Sc 0.0000 0.0000 0.7515  12 Ni 2.55-2.65
Sc 0.2445 0.7555 0.5000  12 Ni 2.51-2.68
Sc 0.7555 0.2445 0.5000  12 Ni 2.51-2.68
Co 0.2388 0.7612 0.0000  12 Ni 2.45-2.68
Co 0.5000 0.5000 0.2457  12 Ni 2.47-2.61
Co 0.5000 0.5000 0.7543  12 Ni 2.47-2.61
Co 0.7612 0.2388 0.0000  12 Ni 2.45-2.68
Ni 0.0000 0.0000 0.0000  2 Co 2.45, 2 Sc 2.55, 8 Ni 2.59
Ni 0.0000 0.0000 0.5000  4 Sc 2.51-2.58, 8 Ni 2.64
Ni 0.1307 0.3878 0.1191  8 Ni 2.44-2.64, 3 Co 2.50-2.54, 1 Sc 2.65
Ni 0.1307 0.3878 0.8809  8 Ni 2.44-2.64, 3 Co 2.50-2.54, 1 Sc 2.65
Ni 0.1387 0.3835 0.3681  1 Co 2.47, 8 Ni 2.51-2.71, 3 Sc 2.58-2.64
Ni 0.1387 0.3835 0.6319  1 Co 2.47, 8 Ni 2.51-2.71, 3 Sc 2.58-2.64
Ni 0.2555 0.7445 0.2391  8 Ni 2.44-2.68, 2 Co 2.46-2.51, 2 Sc 2.62-2.68
Ni 0.2555 0.7445 0.7609  8 Ni 2.44-2.68, 2 Co 2.46-2.51, 2 Sc 2.62-2.68
Ni 0.3835 0.1387 0.3681  1 Co 2.47, 8 Ni 2.51-2.71, 3 Sc 2.58-2.64
Ni 0.3835 0.1387 0.6319  1 Co 2.47, 8 Ni 2.51-2.71, 3 Sc 2.58-2.64
Ni 0.3878 0.1307 0.1191  8 Ni 2.44-2.64, 3 Co 2.50-2.54, 1 Sc 2.65
Ni 0.3878 0.1307 0.8809  8 Ni 2.44-2.64, 3 Co 2.50-2.54, 1 Sc 2.65
Ni 0.5000 0.5000 0.0000  8 Ni 2.50, 4 Co 2.52-2.68
Ni 0.5000 0.5000 0.5000  8 Ni 2.53, 2 Co 2.61, 2 Sc 2.62
Ni 0.6122 0.8693 0.1191  8 Ni 2.44-2.64, 3 Co 2.50-2.54, 1 Sc 2.65
Ni 0.6122 0.8693 0.8809  8 Ni 2.44-2.64, 3 Co 2.50-2.54, 1 Sc 2.65
Ni 0.6165 0.8613 0.3681  1 Co 2.47, 8 Ni 2.51-2.71, 3 Sc 2.58-2.64
Ni 0.6165 0.8613 0.6319  1 Co 2.47, 8 Ni 2.51-2.71, 3 Sc 2.58-2.64
Ni 0.7445 0.2555 0.2391  8 Ni 2.44-2.68, 2 Co 2.46-2.51, 2 Sc 2.62-2.68
Ni 0.7445 0.2555 0.7609  8 Ni 2.44-2.68, 2 Co 2.46-2.51, 2 Sc 2.62-2.68
Ni 0.8613 0.6165 0.3681  1 Co 2.47, 8 Ni 2.51-2.71, 3 Sc 2.58-2.64
Ni 0.8613 0.6165 0.6319  1 Co 2.47, 8 Ni 2.51-2.71, 3 Sc 2.58-2.64
Ni 0.8693 0.6122 0.1191  8 Ni 2.44-2.64, 3 Co 2.50-2.54, 1 Sc 2.65
Ni 0.8693 0.6122 0.8809  8 Ni 2.44-2.64, 3 Co 2.50-2.54, 1 Sc 2.65

HfTi4Tl | PBE-GGA | relaxed

Calculated values
N(E_F) in states/eV per cell: 10.01
Energy above the lowest structure with this stoichiometry in eV per atom: 0.131
E_form in eV per formula unit: 1.0
Volume in A^3/atom: 19.0

Cell lengths 5.4392, 5.4392, 5.4392 Å; angles 60.00, 60.00, 60.00 degrees
With the nearest neighbours (Å) after each atom.
Sites, in units of the cell vectors:
Hf 0.0000 0.0000 0.0000  12 Ti 3.18, 4 Tl 3.33
Ti 0.3716 0.3716 0.3716  6 Ti 2.65-2.79
Ti 0.3716 0.3716 0.8851  6 Ti 2.65-2.79
Ti 0.3716 0.8851 0.3716  6 Ti 2.65-2.79
Ti 0.8851 0.3716 0.3716  6 Ti 2.65-2.79
Tl 0.7500 0.7500 0.7500  12 Ti 3.20, 4 Hf 3.33

Repeat the first record exactly.
BaAgSe | PBE-GGA | relaxed

Calculated values
N(E_F) in states/eV per cell: 9.53
Energy above the lowest structure with this stoichiometry in eV per atom: 0.110
Volume in A^3/atom: 31.3

Cell lengths 9.7485, 9.7485, 9.7485 Å; angles 128.95, 77.14, 126.44 degrees
With the nearest neighbours (Å) after each atom.
Sites, in units of the cell vectors:
Ba 0.0015 0.2500 0.2515  5 Se 3.12-3.28
Ba 0.1256 0.6098 0.0157  4 Se 3.24-3.58, 2 Ag 3.51
Ba 0.1766 0.1418 0.5349  4 Se 3.14-3.34
Ba 0.5941 0.1098 0.9843  4 Se 3.24-3.58, 2 Ag 3.51
Ba 0.6069 0.6418 0.4651  4 Se 3.14-3.34
Ba 0.9985 0.7500 0.7485  5 Se 3.12-3.28
Ag 0.3346 0.3346 0.0000  2 Ag 2.88, 2 Se 2.94
Ag 0.3346 0.8346 0.5000  2 Ag 2.88, 2 Se 2.94
Ag 0.5336 0.0329 0.3324  3 Ag 2.79-2.91, 1 Se 2.90
Ag 0.5336 0.7012 0.0006  3 Ag 2.79-2.91, 1 Se 2.90
Ag 0.7005 0.2012 0.6676  3 Ag 2.79-2.91, 1 Se 2.90
Ag 0.7005 0.5329 0.9994  3 Ag 2.79-2.91, 1 Se 2.90
Se 0.2699 0.1200 0.1479  1 Ag 2.94, 3 Ba 3.24-3.28
Se 0.2699 0.6220 0.6498  1 Ag 2.94, 3 Ba 3.24-3.28
Se 0.5890 0.4429 0.6461  4 Ag 2.90-3.25, 2 Ba 3.12-3.14
Se 0.7968 0.9429 0.3539  4 Ag 2.90-3.25, 2 Ba 3.12-3.14
Se 0.9721 0.1220 0.8521  1 Ag 2.94, 3 Ba 3.24-3.28
Se 0.9721 0.6200 0.3502  1 Ag 2.94, 3 Ba 3.24-3.28